Record 1
Below is a geometry-optimized Tm4MgBi2 structure, with properties calculated at the PBE-GGA level.

Cell: 6.3603 6.5853 9.9025 Å, 90.00 92.68 90.00°
Positions (direct):
Tm: 0.0369 0.2500 0.2408
Tm: 0.1592 0.7500 0.4297
Tm: 0.4412 0.5094 0.7540
Tm: 0.4412 0.9906 0.7540
Tm: 0.5588 0.0094 0.2460
Tm: 0.5588 0.4906 0.2460
Tm: 0.8408 0.2500 0.5703
Tm: 0.9631 0.7500 0.7592
Mg: 0.1914 0.7500 0.0728
Mg: 0.8086 0.2500 0.9272
Bi: 0.2873 0.2500 0.9939
Bi: 0.3273 0.2500 0.4895
Bi: 0.6727 0.7500 0.5105
Bi: 0.7127 0.7500 0.0061

DOS(E_F): 8.6 states/eV/f.u.
Formation enthalpy at 0 K: -0.28 eV/atom

---

Record 2
Below is a geometry-optimized Tm2MgBi structure, with properties calculated at the PBE-GGA level.

Cell: 5.0581 5.0581 4.2172 Å, 90.00 90.00 90.00°
Positions (direct):
Tm: 0.0000 0.5000 0.0000
Tm: 0.5000 0.0000 0.0000
Mg: 0.0000 0.0000 0.5000
Bi: 0.5000 0.5000 0.5000

DOS(E_F): 3.6 states/eV/f.u.
ΔE to the lowest computed polymorph: 0.044 eV/atom
Formation enthalpy at 0 K: -0.30 eV/atom

---

Record 3
Below is a geometry-optimized TmMgBi structure, with properties calculated at the PBE-GGA level.

Cell: 4.8508 4.8508 3.9760 Å, 90.00 90.00 120.00°
Positions (direct):
Tm: 0.0000 0.0000 0.0000
Mg: 0.6667 0.3333 0.4504
Bi: 0.3333 0.6667 0.5398

DOS(E_F): 0.7 states/eV/f.u.
ΔE to the lowest computed polymorph: 0.083 eV/atom
Formation enthalpy at 0 K: -0.23 eV/atom

---

Record 4
Below is a geometry-optimized Tm2MgBi structure, with properties calculated at the PBE-GGA level.

Cell: 4.0071 4.0071 6.7212 Å, 90.00 90.00 90.00°
Positions (direct):
Tm: 0.0000 0.0000 0.2484
Tm: 0.0000 0.0000 0.7516
Mg: 0.5000 0.5000 0.5000
Bi: 0.5000 0.5000 0.0000

DOS(E_F): 3.2 states/eV/f.u.
ΔE to the lowest computed polymorph: 0.000 eV/atom
Formation enthalpy at 0 K: -0.35 eV/atom

---

Record 5
Below is a geometry-optimized Tm5MgBi structure, with properties calculated at the PBE-GGA level.

Cell: 6.1530 6.1530 11.3584 Å, 100.06 100.06 92.14°
Positions (direct):
Tm: 0.0067 0.5880 0.1581
Tm: 0.1269 0.8731 0.7500
Tm: 0.2419 0.5241 0.4708
Tm: 0.4120 0.9933 0.3419
Tm: 0.4759 0.7581 0.0292
Tm: 0.5241 0.2419 0.9708
Tm: 0.5880 0.0067 0.6581
Tm: 0.7581 0.4759 0.5292
Tm: 0.8731 0.1269 0.2500
Tm: 0.9933 0.4120 0.8419
Mg: 0.0000 0.0000 0.0000
Mg: 0.0000 0.0000 0.5000
Bi: 0.4823 0.5177 0.7500
Bi: 0.5177 0.4823 0.2500

DOS(E_F): 8.6 states/eV/f.u.
Formation enthalpy at 0 K: -0.04 eV/atom

---

Record 6
Below is a geometry-optimized YTm2MgBi4 structure, with properties calculated at the PBE-GGA level.

Cell: 7.7131 4.4094 7.7370 Å, 90.00 109.67 90.00°
Positions (direct):
Y: 0.0000 0.0000 0.0000
Tm: 0.0000 0.5000 0.5000
Tm: 0.5000 0.0000 0.5000
Mg: 0.5000 0.5000 0.0000
Bi: 0.2532 0.5000 0.2520
Bi: 0.2562 0.0000 0.7533
Bi: 0.7438 0.0000 0.2467
Bi: 0.7468 0.5000 0.7480

DOS(E_F): 3.1 states/eV/f.u.
Formation enthalpy at 0 K: -0.59 eV/atom

---

Record 7
Below is a geometry-optimized MgUBi2 structure, with properties calculated at the PBE-GGA level.

Cell: 4.0454 4.0454 6.7909 Å, 90.00 90.00 90.00°
Positions (direct):
Mg: 0.0000 0.0000 0.0000
U: 0.0000 0.0000 0.5000
Bi: 0.5000 0.5000 0.2521
Bi: 0.5000 0.5000 0.7479

DOS(E_F): 5.7 states/eV/f.u.
ΔE to the lowest computed polymorph: 0.078 eV/atom
Formation enthalpy at 0 K: 0.03 eV/atom

---

Record 8
Below is a geometry-optimized MgUBi2 structure, with properties calculated at the PBE-GGA level.

Cell: 5.1255 5.1255 4.1041 Å, 90.00 90.00 90.00°
Positions (direct):
Mg: 0.0000 0.0000 0.0000
U: 0.5000 0.5000 0.0000
Bi: 0.0000 0.5000 0.5000
Bi: 0.5000 0.0000 0.5000

DOS(E_F): 7.3 states/eV/f.u.
ΔE to the lowest computed polymorph: 0.000 eV/atom
Formation enthalpy at 0 K: -0.04 eV/atom

---

Record 9
Below is a geometry-optimized MgUBi2 structure, with properties calculated at the PBE-GGA level.

Cell: 7.9456 7.9456 7.9456 Å, 31.48 31.48 31.48°
Positions (direct):
Mg: 0.0000 0.0000 0.0000
U: 0.1686 0.1686 0.1686
Bi: 0.4139 0.4139 0.4139
Bi: 0.5906 0.5906 0.5906

DOS(E_F): 6.6 states/eV/f.u.
ΔE to the lowest computed polymorph: 0.148 eV/atom
Formation enthalpy at 0 K: 0.10 eV/atom

---

Record 10
Below is a geometry-optimized MgUBi2 structure, with properties calculated at the PBE-GGA level.

Cell: 7.4317 7.4317 7.4317 Å, 35.42 35.42 35.42°
Positions (direct):
Mg: 0.0000 0.0000 0.0000
U: 0.5000 0.5000 0.5000
Bi: 0.2526 0.2526 0.2526
Bi: 0.7474 0.7474 0.7474

DOS(E_F): 9.0 states/eV/f.u.
ΔE to the lowest computed polymorph: 0.124 eV/atom
Formation enthalpy at 0 K: 0.08 eV/atom

---

Record 11
Below is a geometry-optimized MgU2Bi5 structure, with properties calculated at the PBE-GGA level.

Cell: 7.6848 13.3822 4.5292 Å, 90.00 90.00 90.00°
Positions (direct):
Mg: 0.0000 0.0000 0.0000
Mg: 0.5000 0.5000 0.0000
U: 0.1559 0.3458 0.5000
U: 0.3441 0.8458 0.5000
U: 0.6559 0.1542 0.5000
U: 0.8441 0.6542 0.5000
Bi: 0.0000 0.5000 0.0000
Bi: 0.0639 0.7764 0.0000
Bi: 0.2191 0.0955 0.5000
Bi: 0.2809 0.5955 0.5000
Bi: 0.4361 0.2764 0.0000
Bi: 0.5000 0.0000 0.0000
Bi: 0.5639 0.7236 0.0000
Bi: 0.7191 0.4045 0.5000
Bi: 0.7809 0.9045 0.5000
Bi: 0.9361 0.2236 0.0000

DOS(E_F): 16.1 states/eV/f.u.
Formation enthalpy at 0 K: -0.01 eV/atom

---

Record 12
Below is a geometry-optimized MgV2Bi structure, with properties calculated at the PBE-GGA level.

Cell: 4.8334 4.8334 4.8334 Å, 60.00 60.00 60.00°
Positions (direct):
Mg: 0.0000 0.0000 0.0000
V: 0.2500 0.2500 0.2500
V: 0.7500 0.7500 0.7500
Bi: 0.5000 0.5000 0.5000

DOS(E_F): 4.6 states/eV/f.u.
ΔE to the lowest computed polymorph: 0.000 eV/atom
Formation enthalpy at 0 K: 0.52 eV/atom

---

| no. | theoretical density (g cm⁻³) |
| --- | --- |
| 1 | 8.96 |
| 2 | 8.79 |
| 3 | 8.24 |
| 4 | 8.79 |
| 5 | 8.61 |
| 6 | 8.62 |
| 7 | 10.16 |
| 8 | 10.48 |
| 9 | 9.30 |
| 10 | 9.17 |
| 11 | 11.02 |
| 12 | 6.97 |